[1]
TiNbPb3 GGA-PBE relaxed; raw total energy = -23.86 eV per cell; ΔE_f = 1.046 eV per atom; relative energy among the computed polymorphs = 0.0000 eV/atom; DOS at the Fermi energy = 11.1 states/eV per cell
1.0
5.471 0.000 0.000
0.000 5.471 0.000
0.000 0.000 5.471
Pb Ti Nb
3 1 1
Direct
0.000 0.000 0.500
0.000 0.500 0.000
0.500 0.000 0.000
0.500 0.500 0.500
0.000 0.000 0.000

=====

[2]
BiSe GGA-PBE relaxed; raw total energy = -29.87 eV per cell; energy relative to the elements, uncorrected = -0.10 eV/f.u.; relative energy among the computed polymorphs = 0.2726 eV/atom; DOS at the Fermi energy = 3.5 states/eV per cell
1.0
5.019 0.000 0.000
-2.510 4.347 0.000
0.000 0.000 12.304
Se Bi
4 4
Direct
0.333 0.667 0.052
0.000 0.000 0.757
0.000 0.000 0.257
0.667 0.333 0.552
0.333 0.667 0.305
0.667 0.333 0.805
0.000 0.000 0.011
0.000 0.000 0.511

=====

[3]
AsI GGA-PBE relaxed; raw total energy = -93.05 eV per cell; energy relative to the elements, uncorrected = 0.38 eV/f.u.; DOS at the Fermi energy = 1.1 states/eV per cell
1.0
10.401 0.000 0.000
0.000 8.888 0.000
0.000 0.000 19.292
As I
16 16
Direct
0.500 0.628 0.500
0.000 0.872 0.500
0.250 0.878 0.750
0.250 0.122 0.250
0.000 0.372 0.000
0.500 0.128 0.000
0.500 0.372 0.500
0.750 0.378 0.750
0.750 0.122 0.750
0.250 0.622 0.750
0.250 0.378 0.250
0.750 0.878 0.250
0.750 0.622 0.250
0.500 0.872 0.000
0.000 0.628 0.000
0.000 0.128 0.500
0.250 0.250 0.999
0.000 0.500 0.749
0.250 0.750 0.001
0.250 0.750 0.499
0.750 0.250 0.001
0.500 0.500 0.751
0.750 0.750 0.501
0.000 0.000 0.751
0.250 0.250 0.501
0.000 0.500 0.251
0.500 0.000 0.749
0.750 0.750 0.999
0.000 0.000 0.249
0.500 0.000 0.251
0.750 0.250 0.499
0.500 0.500 0.249

=====

[4]
RuSe GGA-PBE relaxed; raw total energy = -74.42 eV per cell; energy relative to the elements, uncorrected = 0.36 eV/f.u.; DOS at the Fermi energy = 10.8 states/eV per cell
1.0
-0.463 -3.414 2.213
3.243 2.422 0.626
-7.533 7.500 9.993
Se Ru
6 6
Direct
0.667 0.333 0.063
0.667 0.333 0.270
0.000 0.000 0.397
0.000 0.000 0.603
0.333 0.667 0.730
0.333 0.667 0.937
0.000 0.000 0.223
0.333 0.667 0.110
0.333 0.667 0.557
0.667 0.333 0.890
0.667 0.333 0.443
0.000 0.000 0.777

=====

[5]
MnTl2Cl GGA-PBE relaxed; raw total energy = -14.89 eV per cell; energy relative to the elements, uncorrected = 0.86 eV/f.u.; relative energy among the computed polymorphs = 0.3339 eV/atom; DOS at the Fermi energy = 2.0 states/eV per cell
1.0
5.279 0.000 0.000
2.640 4.572 0.000
2.640 1.524 4.310
Mn Tl Cl
1 2 1
Direct
0.750 0.750 0.750
0.250 0.250 0.250
0.000 0.000 0.000
0.500 0.500 0.500

=====

[6]
Ni8Pt3 GGA-PBE relaxed; raw total energy = -58.42 eV per cell; ΔE_f = 0.542 eV per atom; DOS at the Fermi energy = 21.1 states/eV per cell
1.0
5.411 -0.397 -0.388
-0.260 5.420 -0.388
-0.260 -0.253 5.428
Ni Pt
8 3
Direct
0.638 0.638 0.638
0.035 0.689 0.939
0.061 0.965 0.311
0.689 0.939 0.035
0.362 0.362 0.362
0.965 0.311 0.061
0.939 0.035 0.689
0.311 0.061 0.965
0.500 0.500 0.000
0.500 0.000 0.500
0.000 0.500 0.500